[1]
DFT (PBE-GGA) results for a relaxed structure of MgBrN3.

Output
formation energy from raw total energies	2.1569	eV per atom

```
data_MgBrN3
_cell_length_a 4.188
_cell_length_b 4.188
_cell_length_c 4.188
_cell_angle_alpha 90.00
_cell_angle_beta 90.00
_cell_angle_gamma 90.00
_space_group_name_H-M_alt 'P m -3 m'
_space_group_IT_number 221
_space_group_name_Hall '-P 4 2 3'
loop_
_atom_site_label
_atom_site_fract_x
_atom_site_fract_y
_atom_site_fract_z
_atom_site_occupancy
Mg1 0.000 0.000 0.000 1
Br1 0.500 0.500 0.500 1
N1 0.000 0.000 0.500 1
```



[2]
DFT (PBE-GGA) results for a relaxed structure of NaDy2Tm3Te6.

Output
formation energy from raw total energies	-1.2537	eV per atom

```
data_NaDy2Tm3Te6
_cell_length_a 19.021
_cell_length_b 4.320
_cell_length_c 8.756
_cell_angle_alpha 90.00
_cell_angle_beta 103.72
_cell_angle_gamma 90.00
_space_group_name_H-M_alt 'C 1 2/m 1'
_space_group_IT_number 12
loop_
_space_group_symop_operation_xyz
'x,y,z'
'-x,-y,-z'
'-x,y,-z'
'x,-y,z'
'x+1/2,y+1/2,z'
'-x+1/2,-y+1/2,-z'
'-x+1/2,y+1/2,-z'
'x+1/2,-y+1/2,z'
loop_
_atom_site_label
_atom_site_fract_x
_atom_site_fract_y
_atom_site_fract_z
_atom_site_occupancy
Na1 0.000 0.000 0.000 1
Dy1 0.171 0.500 0.346 1
Tm1 0.000 0.000 0.500 1
Tm2 0.165 0.500 0.827 1
Te1 0.002 0.500 0.255 1
Te2 0.164 0.000 0.588 1
Te3 0.169 0.000 0.082 1
```



[3]
DFT (PBE-GGA) results for a relaxed structure of YFeTc2.

Output
energy above the most stable polymorph in this dataset	0.145	eV/atom
ΔH_f (0 K)	290	meV/atom

```
data_YFeTc2
_cell_length_a 9.423
_cell_length_b 3.204
_cell_length_c 4.928
_cell_angle_alpha 90.00
_cell_angle_beta 110.95
_cell_angle_gamma 90.00
_space_group_name_H-M_alt 'C 1 m 1'
_space_group_IT_number 8
loop_
_space_group_symop_operation_xyz
'x,y,z'
'x,-y,z'
'x+1/2,y+1/2,z'
'x+1/2,-y+1/2,z'
loop_
_atom_site_label
_atom_site_fract_x
_atom_site_fract_y
_atom_site_fract_z
_atom_site_occupancy
Y1 0.000 0.000 0.000 1
Fe1 0.225 0.000 0.670 1
Tc1 0.003 0.500 0.509 1
Tc2 0.278 0.500 0.311 1
```



[4]
DFT (PBE-GGA) results for a relaxed structure of NaSr2Rh.

Output
energy above the most stable polymorph in this dataset	0.246	eV/atom
ΔH_f (0 K)	97	meV/atom

```
data_NaSr2Rh
_cell_length_a 8.923
_cell_length_b 8.923
_cell_length_c 7.205
_cell_angle_alpha 90.00
_cell_angle_beta 90.00
_cell_angle_gamma 90.00
_space_group_name_H-M_alt 'I -4 2 d'
_space_group_IT_number 122
_space_group_name_Hall 'I -4 2bw'
loop_
_atom_site_label
_atom_site_fract_x
_atom_site_fract_y
_atom_site_fract_z
_atom_site_occupancy
Na1 0.000 0.000 0.000 1
Sr1 0.169 0.750 0.625 1
Rh1 0.000 0.000 0.500 1
```



[5]
DFT (PBE-GGA) results for a relaxed structure of Mg3Tl3Pb.

Output
energy above the most stable polymorph in this dataset	0.026	eV/atom
ΔH_f (0 K)	11	meV/atom

```
data_Mg3Tl3Pb
_cell_length_a 10.3119
_cell_length_b 10.3119
_cell_length_c 6.2635
_cell_angle_alpha 90.00
_cell_angle_beta 90.00
_cell_angle_gamma 120.00
_space_group_name_H-M_alt 'R 3 m'
_space_group_IT_number 160
_space_group_name_Hall 'R 3 -2"'
loop_
_atom_site_label
_atom_site_fract_x
_atom_site_fract_y
_atom_site_fract_z
_atom_site_occupancy
Mg1 0.0006 0.5003 0.0000 1
Tl1 0.0103 0.5052 0.5053 1
Pb1 0.0000 0.0000 0.4895 1
```



[6]
DFT (PBE-GGA) results for a relaxed structure of LiPd2Pb3.

Output
energy above the most stable polymorph in this dataset	0.000	eV/atom
ΔH_f (0 K)	-218	meV/atom

```
data_LiPd2Pb3
_cell_length_a 4.453
_cell_length_b 8.726
_cell_length_c 7.103
_cell_angle_alpha 90.00
_cell_angle_beta 90.00
_cell_angle_gamma 90.00
_space_group_name_H-M_alt 'P m c 21'
_space_group_IT_number 26
loop_
_space_group_symop_operation_xyz
'x,y,z'
'-x,-y,z+1/2'
'-x,y,z'
'x,-y,z+1/2'
loop_
_atom_site_label
_atom_site_fract_x
_atom_site_fract_y
_atom_site_fract_z
_atom_site_occupancy
Li1 0.000 0.074 0.000 1
Pd1 0.000 0.380 0.231 1
Pd2 0.500 0.126 0.709 1
Pb1 0.000 0.299 0.625 1
Pb2 0.500 0.177 0.297 1
Pb3 0.500 0.427 0.944 1
```



Density of states at the Fermi level values (in states/eV per cell) by entry order: 5.0, 8.1, 9.6, 5.6, 10.7, 5.4.
Size of the total moment values (in μB/atom) by entry order: 1.07, 0.00, 0.52, 0.00, 0.00, 0.00.